Here is a relaxed Cs2PaZnSe5 crystal from Alexandria via LeMat-Bulk. Energies are from GGA-PBE.

```
data_Cs2PaZnSe5
_cell_length_a 4.1900
_cell_length_b 21.6797
_cell_length_c 14.9923
_cell_angle_alpha 90.00
_cell_angle_beta 90.00
_cell_angle_gamma 90.00
_symmetry_space_group_name_H-M 'C m c 21'
_symmetry_Int_Tables_number 36
loop_
_symmetry_equiv_pos_as_xyz
'x,y,z'
'-x,-y,z+1/2'
'-x,y,z'
'x,-y,z+1/2'
'x+1/2,y+1/2,z'
'-x+1/2,-y+1/2,z+1/2'
'-x+1/2,y+1/2,z'
'x+1/2,-y+1/2,z+1/2'
loop_
_atom_site_label
_atom_site_fract_x
_atom_site_fract_y
_atom_site_fract_z
_atom_site_occupancy
Cs1 0.0000 0.1243 0.0000 1
Cs2 0.0000 0.1266 0.6330 1
Pa1 0.0000 0.2019 0.3278 1
Zn1 0.0000 0.4236 0.7493 1
Se1 0.0000 0.0719 0.3435 1
Se2 0.0000 0.2980 0.9516 1
Se3 0.0000 0.3078 0.6995 1
Se4 0.0000 0.3239 0.3177 1
Se5 0.0000 0.4880 0.6215 1
```

Computed properties:
density = 4668 kg/m3
ΔE_f (raw) = -1076 meV per atom
uncorrected energy = -4.40 eV per atom
crystal system = orthorhombic